1.
## TcHgSe2 (PBE)

Data for a geometry-optimized TcHgSe2 structure.

The value obtained for the calculated total energy is -4.719 eV per atom. Its theoretical density is 7.8 g/cm3.

The structure belongs to space group P1 (No. 1); the cell edges are 3.2621, 5.9989 and 10.2000 Å and the angles 104.43°, 90.16° and 90.00°. The asymmetric unit holds Tc at (0.0000, 0.0000, 0.0000), Tc at (0.5001, 0.3959, 0.0082), Hg at (0.4928, 0.4523, 0.5352), Hg at (0.9938, 0.9249, 0.4724), Se at (0.0017, 0.3468, 0.1872), Se at (0.4984, 0.0490, 0.8211), Se at (0.5013, 0.8274, 0.1422) and Se at (0.9988, 0.5683, 0.8660).


2.
## Tc2HgSe2 (PBE)

Data for a geometry-optimized Tc2HgSe2 structure.

The value obtained for the calculated total energy is -5.175 eV per atom. Its theoretical density is 10.0 g/cm3. The energy above the most stable polymorph in this dataset is 524 meV per atom.

The structure belongs to space group P4/mbm (No. 127); the cell edges are 7.8658, 7.8658 and 2.9834 Å and the angles 90.00°, 90.00° and 90.00°. The asymmetric unit holds Tc at (0.1303, 0.3697, 0.0000), Hg at (0.0000, 0.0000, 0.5000) and Se at (0.1342, 0.6342, 0.5000).


3.
## TcHgSe2 (PBE)

Data for a geometry-optimized TcHgSe2 structure.

The value obtained for the calculated total energy is -4.644 eV per atom. Its theoretical density is 7.8 g/cm3.

The structure belongs to space group P1 (No. 1); the cell edges are 3.4087, 3.4251 and 9.5274 Å and the angles 89.73°, 89.89° and 61.12°. The asymmetric unit holds Tc at (0.0000, 0.0000, 0.0000), Hg at (0.3200, 0.3305, 0.4999), Se at (0.6653, 0.6606, 0.1628) and Se at (0.6649, 0.6652, 0.8372).


4.
## TcHgSe2 (PBE)

Data for a geometry-optimized TcHgSe2 structure.

The value obtained for the calculated total energy is -4.528 eV per atom. Its theoretical density is 8.4 g/cm3.

The structure belongs to space group P4/mmm (No. 123); the cell edges are 3.0463, 3.0463 and 9.6847 Å and the angles 90.00°, 90.00° and 90.00°. The asymmetric unit holds Tc at (0.0000, 0.0000, 0.0000), Hg at (0.0000, 0.0000, 0.5000) and Se at (0.5000, 0.5000, 0.1605).


5.
## TcHgSe2 (PBE)

Data for a geometry-optimized TcHgSe2 structure.

The value obtained for the calculated total energy is -4.373 eV per atom. Its theoretical density is 7.5 g/cm3.

The structure belongs to space group Pna2_1 (No. 33); the cell edges are 6.8019, 9.2011 and 6.4350 Å and the angles 90.00°, 90.00° and 90.00°. The asymmetric unit holds Tc at (0.0239, 0.0979, 0.0000), Hg at (0.0891, 0.4671, 0.5015), Se at (0.0253, 0.1438, 0.6405) and Se at (0.2047, 0.3122, 0.0972).


6.
## TcHgSe2 (PBE)

Data for a geometry-optimized TcHgSe2 structure.

The value obtained for the calculated total energy is -3.833 eV per atom. Its theoretical density is 7.4 g/cm3.

The structure belongs to space group I-4m2 (No. 119); the cell edges are 3.7882, 3.7882 and 14.2354 Å and the angles 90.00°, 90.00° and 90.00°. The asymmetric unit holds Tc at (0.0000, 0.0000, 0.0000), Hg at (0.0000, 0.5000, 0.7500), Se at (0.0000, 0.0000, 0.5000) and Se at (0.0000, 0.5000, 0.2500).


7.
## TcHgSe2 (PBE)

Data for a geometry-optimized TcHgSe2 structure.

The value obtained for the calculated total energy is -4.723 eV per atom. Its theoretical density is 7.8 g/cm3.

The structure belongs to space group Cm (No. 8); the cell edges are 19.8612, 3.2498 and 6.0453 Å and the angles 90.00°, 92.72° and 90.00°. The asymmetric unit holds Tc at (0.0000, 0.0000, 0.0000), Tc at (0.0025, 0.5000, 0.3936), Hg at (0.2344, 0.5000, 0.9432), Hg at (0.2682, 0.5000, 0.4484), Se at (0.0696, 0.5000, 0.7774), Se at (0.0920, 0.0000, 0.2840), Se at (0.4106, 0.0000, 0.1096) and Se at (0.4329, 0.5000, 0.6162).


8.
## TcHgSe2 (PBE)

Data for a geometry-optimized TcHgSe2 structure.

The value obtained for the calculated total energy is -3.797 eV per atom. Its theoretical density is 8.5 g/cm3.

The structure belongs to space group C2/m (No. 12); the cell edges are 5.9396, 7.8205 and 4.4325 Å and the angles 90.00°, 120.36° and 90.00°. The asymmetric unit holds Tc at (0.0000, 0.0000, 0.0000), Hg at (0.0000, 0.5000, 0.0000) and Se at (0.2500, 0.2500, 0.5000).


9.
## TcHgSe2 (PBE)

Data for a geometry-optimized TcHgSe2 structure.

The value obtained for the calculated total energy is -4.509 eV per atom. Its theoretical density is 7.8 g/cm3.

The structure belongs to space group C2/c (No. 15); the cell edges are 11.1793, 9.5027 and 15.2385 Å and the angles 90.00°, 105.83° and 90.00°. The asymmetric unit holds Tc at (0.0730, 0.2322, 0.1960), Tc at (0.1049, 0.0388, 0.3196), Hg at (0.1355, 0.4345, 0.9264), Hg at (0.1437, 0.0317, 0.6233), Se at (0.0000, 0.1778, 0.7500), Se at (0.0000, 0.4528, 0.2500), Se at (0.0956, 0.1941, 0.4472), Se at (0.2185, 0.3546, 0.1017) and Se at (0.2260, 0.3096, 0.6933).


10.
## TcHgSe2 (PBE)

Data for a geometry-optimized TcHgSe2 structure.

The value obtained for the calculated total energy is -4.557 eV per atom. Its theoretical density is 6.6 g/cm3.

The structure belongs to space group I4/mcm (No. 140); the cell edges are 8.8443, 8.8443 and 5.8468 Å and the angles 90.00°, 90.00° and 90.00°. The asymmetric unit holds Tc at (0.0000, 0.5000, 0.2500), Hg at (0.0000, 0.0000, 0.2500) and Se at (0.1490, 0.3510, 0.0000).


11.
## TcHgSe2 (PBE)

Data for a geometry-optimized TcHgSe2 structure.

The value obtained for the calculated total energy is -4.586 eV per atom. Its theoretical density is 7.2 g/cm3.

The structure belongs to space group Pnma (No. 62); the cell edges are 9.5483, 3.1239 and 14.1799 Å and the angles 90.00°, 90.00° and 90.00°. The asymmetric unit holds Tc at (0.1058, 0.2500, 0.0589), Hg at (0.0810, 0.7500, 0.4113), Se at (0.0777, 0.2500, 0.8855) and Se at (0.2427, 0.2500, 0.6442).


12.
## TcHg2Se (PBE)

Data for a geometry-optimized TcHg2Se structure.

The value obtained for the calculated total energy is -2.970 eV per atom. Its theoretical density is 11.7 g/cm3.

The structure belongs to space group I4/mmm (No. 139); the cell edges are 4.0063, 4.0063 and 10.2084 Å and the angles 90.00°, 90.00° and 90.00°. The asymmetric unit holds Tc at (0.0000, 0.0000, 0.0000), Hg at (0.0000, 0.5000, 0.2500) and Se at (0.0000, 0.0000, 0.5000).


13.
## TcHgSe2 (PBE)

Data for a geometry-optimized TcHgSe2 structure.

The value obtained for the calculated total energy is -4.570 eV per atom. Its theoretical density is 7.6 g/cm3.

The structure belongs to space group C2/c (No. 15); the cell edges are 13.8780, 13.0854 and 8.8839 Å and the angles 90.00°, 97.93° and 90.00°. The asymmetric unit holds Tc at (0.0678, 0.1943, 0.1471), Tc at (0.2409, 0.2008, 0.8659), Hg at (0.0862, 0.1780, 0.6074), Hg at (0.2020, 0.4666, 0.3057), Se at (0.0000, 0.0414, 0.2500), Se at (0.0000, 0.3450, 0.2500), Se at (0.1166, 0.3185, 0.9442), Se at (0.1442, 0.0641, 0.9708) and Se at (0.2202, 0.1757, 0.3175).


14.
## TcHg2Se (PBE)

Data for a geometry-optimized TcHg2Se structure.

The value obtained for the calculated total energy is -2.989 eV per atom. Its theoretical density is 11.8 g/cm3.

The structure belongs to space group I-4m2 (No. 119); the cell edges are 4.2914, 4.2914 and 8.8583 Å and the angles 90.00°, 90.00° and 90.00°. The asymmetric unit holds Tc at (0.0000, 0.0000, 0.0000), Hg at (0.0000, 0.0000, 0.5000), Hg at (0.0000, 0.5000, 0.7500) and Se at (0.0000, 0.5000, 0.2500).


15.
## TcHg2Se (PBE)

Data for a geometry-optimized TcHg2Se structure.

The value obtained for the calculated total energy is -3.280 eV per atom. Its theoretical density is 11.0 g/cm3.

The structure belongs to space group Immm (No. 71); the cell edges are 3.0052, 4.0741 and 14.3088 Å and the angles 90.00°, 90.00° and 90.00°. The asymmetric unit holds Tc at (0.0000, 0.0000, 0.0000), Hg at (0.0000, 0.5000, 0.3165) and Se at (0.0000, 0.0000, 0.5000).


16.
## TcHgSe3 (PBE)

Data for a geometry-optimized TcHgSe3 structure.

The value obtained for the calculated total energy is -3.938 eV per atom. Its theoretical density is 7.4 g/cm3. The energy above the most stable polymorph in this dataset is 0 meV per atom.

The structure belongs to space group Pm-3m (No. 221); the cell edges are 4.9383, 4.9383 and 4.9383 Å and the angles 90.00°, 90.00° and 90.00°. The asymmetric unit holds Tc at (0.0000, 0.0000, 0.0000), Hg at (0.5000, 0.5000, 0.5000) and Se at (0.0000, 0.0000, 0.5000).


17.
## TcHgSe2 (PBE)

Data for a geometry-optimized TcHgSe2 structure.

The value obtained for the calculated total energy is -4.216 eV per atom. Its theoretical density is 8.1 g/cm3.

The structure belongs to space group Cmcm (No. 63); the cell edges are 2.6481, 27.8102 and 5.0637 Å and the angles 90.00°, 90.00° and 90.00°. The asymmetric unit holds Tc at (0.0000, 0.0321, 0.2500), Hg at (0.0000, 0.2960, 0.2500), Se at (0.0000, 0.0564, 0.7500) and Se at (0.0000, 0.1282, 0.2500).


18.
## TcHgSe2 (PBE)

Data for a geometry-optimized TcHgSe2 structure.

The value obtained for the calculated total energy is -4.718 eV per atom. Its theoretical density is 7.9 g/cm3.

The structure belongs to space group Cm (No. 8); the cell edges are 19.8987, 3.2541 and 6.0057 Å and the angles 90.00°, 97.27° and 90.00°. The asymmetric unit holds Tc at (0.0000, 0.0000, 0.0000), Tc at (0.0035, 0.5000, 0.3951), Hg at (0.2506, 0.5000, 0.1899), Hg at (0.2531, 0.0000, 0.6911), Se at (0.0713, 0.5000, 0.7971), Se at (0.0932, 0.0000, 0.3085), Se at (0.4103, 0.0000, 0.0868) and Se at (0.4322, 0.5000, 0.5981).


19.
## TcHgSe2 (PBE)

Data for a geometry-optimized TcHgSe2 structure.

The value obtained for the calculated total energy is -4.335 eV per atom. Its theoretical density is 7.8 g/cm3.

The structure belongs to space group P2_1/c (No. 14); the cell edges are 8.3050, 4.9078 and 11.1299 Å and the angles 90.00°, 120.61° and 90.00°. The asymmetric unit holds Tc at (0.0601, 0.1486, 0.2250), Hg at (0.1144, 0.2380, 0.9909), Se at (0.2706, 0.7040, 0.8784) and Se at (0.3426, 0.1002, 0.7663).


20.
## Tc4HgSe (PBE)

Data for a geometry-optimized Tc4HgSe structure.

The value obtained for the calculated total energy is -6.849 eV per atom. Its theoretical density is 11.0 g/cm3.

The structure belongs to space group F-43m (No. 216); the cell edges are 7.4126, 7.4126 and 7.4126 Å and the angles 90.00°, 90.00° and 90.00°. The asymmetric unit holds Tc at (0.1239, 0.1239, 0.3761), Hg at (0.0000, 0.0000, 0.0000) and Se at (0.2500, 0.2500, 0.7500).


It is found that the ΔE_f (raw) values, taken in the order of the records, are -1.24 2.13 -0.94 -0.48 0.15 2.31 -1.25 2.45 -0.40 -0.59 -0.71 2.57 -0.64 2.50 1.33 1.43 0.77 -1.23 0.30 4.16 eV/f.u..
It is found that the magnetic moment values, taken in the order of the records, are 0.00 0.00 0.00 0.00 0.00 3.94 0.00 3.17 0.00 0.00 0.00 2.65 0.00 2.84 0.84 0.00 0.00 0.00 0.00 0.00 μB/f.u..
It is found that the V values, taken in the order of the records, are 193.3 184.6 97.4 89.9 402.7 204.3 389.8 177.6 1557.4 457.3 423.0 163.9 1597.9 163.1 175.2 120.4 372.9 385.8 390.4 407.3 Å³ per cell.